(1)
! InIrBr2 PBE optimized geometry; values from VASP
! Relative energy among the computed polymorphs = 247 meV per atom
&SYSTEM
  ibrav = 0, nat = 4, ntyp = 3
/
ATOMIC_SPECIES
Ir 192.22 Ir.upf
Br 79.90 Br.upf
In 114.82 In.upf
ATOMIC_POSITIONS angstrom
Ir -5.283 -0.445 -2.174
Br -7.071 -0.950 0.604
Br -2.786 -0.109 -2.387
In -4.372 -0.588 0.373
CELL_PARAMETERS angstrom
-0.579 2.824 -2.342
0.073 -2.361 -2.865
-7.602 -1.022 0.649

(2)
! K2Ga2Pt3 PBE optimized geometry; values from VASP
! E_form = -0.41 eV per atom
&SYSTEM
  ibrav = 0, nat = 7, ntyp = 3
/
ATOMIC_SPECIES
K 39.10 K.upf
Ga 69.72 Ga.upf
Pt 195.08 Pt.upf
ATOMIC_POSITIONS angstrom
K 2.096 3.649 -0.275
K 0.000 1.193 5.084
Ga 2.096 3.826 3.713
Ga 0.000 1.015 1.097
Pt 2.096 0.000 0.000
Pt 2.096 1.533 2.327
Pt 0.000 3.308 2.483
CELL_PARAMETERS angstrom
4.191 0.000 0.000
-2.096 5.336 -3.304
0.000 -0.495 8.113

Computed spin magnetization, in the same sequence as the records: 0.00, 0.00 μB per formula unit.
Computed E, in the same sequence as the records: -3.55, -4.18 eV/atom.